A relaxed WO2F crystal. Source: the Alexandria database, functional PBE+U.

```
8
Lattice="5.689 0.000 0.000 -2.656 4.824 0.000 3.026 -1.466 4.589" Properties=species:S:1:pos:R:3 pbc="T T T"
O 1.691 2.548 3.538
O 2.966 3.181 1.179
O 3.093 0.176 3.410
O 4.368 0.810 1.051
W 0.000 0.000 0.000
W 3.029 1.679 2.295
F 1.465 0.812 1.234
F 4.594 2.546 3.355
```

Values from the calculation:
Magnetization in μB/cell: 2.00
E above lowest polymorph in eV per atom: 0.004
VASP energy in eV/atom: -6.938
Calculated volume in Å³/cell: 125.94